Computed, not measured: a geometry-optimized Pm2ErN3 structure at the PBE level of DFT.

The uncorrected formation energy comes out at -1522.5 meV per atom. The space group is No. 139. The value obtained for the magnetization is 0.000 μB/f.u. For the theoretical density, the calculation gives 8.7 g cm⁻³.

Geometry as extended XYZ:
```
12
Lattice="3.559 0.000 0.000 0.000 3.559 0.000 0.000 0.000 15.089" Properties=species:S:1:pos:R:3 pbc="T T T"
Pm 0.000 0.000 2.470
Pm 0.000 0.000 12.619
Pm 1.780 1.780 5.075
Pm 1.780 1.780 10.014
Er 0.000 0.000 7.544
Er 1.780 1.780 0.000
N 0.000 0.000 0.000
N 0.000 0.000 5.116
N 0.000 0.000 9.973
N 1.780 1.780 2.428
N 1.780 1.780 7.544
N 1.780 1.780 12.661
```